Entry 1:
Density functional theory data (PBE-GGA) for a geometry-optimized Ca2EuEr structure.

Output
**Calculated formation energy**: 0.14 eV/atom
**SG**: No. 123
**Crystal system**: tetragonal
**Relative energy among the computed polymorphs**: 11 kJ/mol of formula units
**Volume**: 37.7 Å³ per atom

```
data_Ca2EuEr
_symmetry_space_group_name_H-M 'P 1'
_symmetry_Int_Tables_number 1
_cell_length_a 6.033
_cell_length_b 6.033
_cell_length_c 4.145
_cell_angle_alpha 90.00
_cell_angle_beta 90.00
_cell_angle_gamma 90.00
loop_
_symmetry_equiv_pos_as_xyz
'x,y,z'
loop_
_atom_site_label
_atom_site_type_symbol
_atom_site_fract_x
_atom_site_fract_y
_atom_site_fract_z
Ca1 Ca 0.000 0.500 0.000
Ca2 Ca 0.500 0.000 0.000
Eu1 Eu 0.000 0.000 0.500
Er1 Er 0.500 0.500 0.500
```

=====

Entry 2:
Density functional theory data (PBE-GGA) for a geometry-optimized Dy2Tm5Fe2 structure.

Output
**Calculated formation energy**: 0.02 eV/atom
**SG**: No. 64
**Crystal system**: orthorhombic
**Volume**: 26.0 Å³ per atom

```
data_Dy2Tm5Fe2
_symmetry_space_group_name_H-M 'P 1'
_symmetry_Int_Tables_number 1
_cell_length_a 10.393
_cell_length_b 10.393
_cell_length_c 6.894
_cell_angle_alpha 90.00
_cell_angle_beta 90.00
_cell_angle_gamma 39.00
loop_
_symmetry_equiv_pos_as_xyz
'x,y,z'
loop_
_atom_site_label
_atom_site_type_symbol
_atom_site_fract_x
_atom_site_fract_y
_atom_site_fract_z
Dy1 Dy 0.233 0.233 0.000
Dy2 Dy 0.267 0.267 0.500
Dy3 Dy 0.733 0.733 0.500
Dy4 Dy 0.767 0.767 0.000
Tm1 Tm 0.000 0.000 0.000
Tm2 Tm 0.075 0.712 0.679
Tm3 Tm 0.212 0.575 0.179
Tm4 Tm 0.288 0.925 0.679
Tm5 Tm 0.425 0.788 0.179
Tm6 Tm 0.500 0.500 0.500
Tm7 Tm 0.575 0.212 0.821
Tm8 Tm 0.712 0.075 0.321
Tm9 Tm 0.788 0.425 0.821
Tm10 Tm 0.925 0.288 0.321
Fe1 Fe 0.111 0.889 0.393
Fe2 Fe 0.389 0.611 0.893
Fe3 Fe 0.611 0.389 0.107
Fe4 Fe 0.889 0.111 0.607
```

=====

Which of these has the lowest volume? Dy2Tm5Fe2

=====

Among the records above, which one has the highest volume? Ca2EuEr

=====

Which value of calculated formation energy does entry 2 give? 0.02 eV/atom

=====

The lowest calculated formation energy belongs to which entry? Dy2Tm5Fe2